# 1
Computed, not measured: a geometry-optimized PaTiReSi2 structure at the PBE-GGA level of DFT.

Cell: 3.9691 3.9691 10.9933 Å, 90.00 90.00 90.00°
Space group I-4m2 (No. 119)
Symmetry-distinct sites (fractional):
1 Pa 0.0000 0.0000 0.0000
2 Ti 0.0000 0.5000 0.2500
3 Re 0.0000 0.5000 0.7500
4 Si 0.0000 0.0000 0.3927

Properties
Its uncorrected formation energy is -3.02 eV per formula unit. The value obtained for the total magnetization is 0.00 μB/f.u.

# 2
Computed, not measured: a geometry-optimized Pa2Zn2ReSi4 structure at the PBE-GGA level of DFT.

Cell: 6.0087 6.0087 8.6021 Å, 90.00 90.00 90.00°
Space group I4/mmm (No. 139)
Symmetry-distinct sites (fractional):
1 Pa 0.0000 0.5000 0.2500
2 Zn 0.0000 0.0000 0.2057
3 Re 0.0000 0.0000 0.5000
4 Si 0.2149 0.2149 0.0000

Properties
Its uncorrected formation energy is -3.00 eV per formula unit. The value obtained for the total magnetization is 0.00 μB/f.u.

# 3
Computed, not measured: a geometry-optimized SmPaRe structure at the PBE-GGA level of DFT.

Cell: 4.4196 4.4196 4.7796 Å, 90.00 90.00 120.00°
Space group P3m1 (No. 156)
Symmetry-distinct sites (fractional):
1 Sm 0.0000 0.0000 0.0000
2 Pa 0.6667 0.3333 0.4943
3 Re 0.3333 0.6667 0.5337

Properties
The calculation puts the formation energy from the elements at 0.257 eV/atom. The value obtained for the total magnetization is 0.00 μB/f.u. As for the polymorph energy (0 for the lowest one): 199 meV per atom.